{
  "formula": "TaBeAl2Ag",
  "functional": "meta-GGA SCAN",
  "state": "PBEsol geometry",
  "cell": [[-0.508, -3.167, 3.107], [0.101, -3.489, -3.539], [4.938, -0.332, 0.468]],
  "species": ["Be", "Al", "Al", "Ag", "Ta"],
  "fractional_positions": [[0.500, 0.000, 0.000], [0.000, 0.000, 0.500], [0.000, 0.500, 0.000], [0.500, 0.500, 0.500], [0.000, 0.000, 0.000]],
  "sg": "P4/mmm, No. 123",
  "ef_ev_per_fu": 6.34
}

{
  "formula": "AlAgBr",
  "functional": "meta-GGA SCAN",
  "state": "PBEsol geometry",
  "cell": [[4.701, 0.000, 0.000], [2.351, 4.071, 0.000], [2.351, 1.357, 3.839]],
  "species": ["Ag", "Br", "Al"],
  "fractional_positions": [[0.500, 0.500, 0.500], [0.000, 0.000, 0.000], [0.250, 0.250, 0.250]],
  "sg": "F-43m, No. 216",
  "e_form_raw_ev_per_atom": 0.37
}

{
  "formula": "Cs2AlAgBr6",
  "functional": "meta-GGA SCAN",
  "state": "PBEsol geometry",
  "cell": [[-1.109, -4.032, 6.249], [-4.115, -6.287, -0.263], [3.318, -6.701, 0.789]],
  "species": ["Cs", "Cs", "Ag", "Al", "Br", "Br", "Br", "Br", "Br", "Br"],
  "fractional_positions": [[0.750, 0.750, 0.750], [0.250, 0.250, 0.250], [0.500, 0.500, 0.500], [0.000, 0.000, 0.000], [0.763, 0.237, 0.237], [0.763, 0.763, 0.237], [0.237, 0.763, 0.763], [0.763, 0.237, 0.763], [0.237, 0.763, 0.237], [0.237, 0.237, 0.763]],
  "sg": "Fm-3m, No. 225",
  "e_form_raw_ev_per_atom": -1.40
}

{
  "formula": "AlAgMoBr2",
  "functional": "meta-GGA SCAN",
  "state": "PBEsol geometry",
  "cell": [[4.838, 0.000, 0.000], [0.000, 4.838, 0.000], [0.000, 0.000, 5.401]],
  "species": ["Mo", "Br", "Br", "Ag", "Al"],
  "fractional_positions": [[0.000, 0.000, 0.000], [0.000, 0.500, 0.000], [0.500, 0.000, 0.000], [0.000, 0.000, 0.500], [0.500, 0.500, 0.500]],
  "sg": "P4/mmm, No. 123",
  "e_form_raw_ev_per_atom": 0.65
}

{
  "formula": "Na3Al3Si3AgBrO12",
  "functional": "meta-GGA SCAN",
  "state": "PBEsol geometry",
  "cell": [[8.941, 0.004, 0.000], [-0.003, 8.941, 0.000], [-0.001, -0.001, 8.941]],
  "species": ["Na", "Na", "Na", "Na", "Na", "Na", "Al", "Al", "Al", "Al", "Al", "Al", "Si", "Si", "Si", "Si", "Si", "Si", "Ag", "Ag", "Br", "Br", "O", "O", "O", "O", "O", "O", "O", "O", "O", "O", "O", "O", "O", "O", "O", "O", "O", "O", "O", "O", "O", "O", "O", "O"],
  "fractional_positions": [[0.315, 0.817, 0.812], [0.185, 0.685, 0.315], [0.817, 0.315, 0.312], [0.812, 0.686, 0.685], [0.685, 0.185, 0.815], [0.686, 0.812, 0.185], [0.499, 0.498, 0.250], [0.250, 0.003, 0.498], [0.000, 0.750, 0.999], [0.003, 0.250, 0.998], [0.750, 0.000, 0.499], [0.498, 0.499, 0.750], [0.500, 0.250, 0.500], [0.250, 0.500, 0.000], [0.001, 0.000, 0.750], [0.000, 0.001, 0.250], [0.750, 0.499, 0.998], [0.499, 0.750, 0.498], [0.333, 0.167, 0.165], [0.167, 0.333, 0.665], [0.499, 0.001, 0.004], [0.001, 0.499, 0.504], [0.437, 0.347, 0.642], [0.439, 0.651, 0.357], [0.361, 0.151, 0.433], [0.361, 0.853, 0.558], [0.347, 0.437, 0.142], [0.354, 0.565, 0.865], [0.151, 0.361, 0.933], [0.148, 0.638, 0.062], [0.142, 0.062, 0.651], [0.135, 0.937, 0.353], [0.062, 0.142, 0.151], [0.062, 0.858, 0.848], [0.937, 0.135, 0.853], [0.940, 0.862, 0.148], [0.858, 0.062, 0.348], [0.862, 0.940, 0.648], [0.853, 0.361, 0.058], [0.848, 0.642, 0.939], [0.651, 0.439, 0.857], [0.649, 0.558, 0.139], [0.638, 0.148, 0.562], [0.642, 0.848, 0.439], [0.565, 0.354, 0.365], [0.558, 0.649, 0.639]],
  "sg": "Cc, No. 9",
  "e_form_raw_ev_per_atom": -2.78
}

{
  "formula": "AlAgSeBr2",
  "functional": "meta-GGA SCAN",
  "state": "PBEsol geometry",
  "cell": [[5.066, 0.000, 0.000], [0.000, 5.164, 0.000], [0.000, 0.000, 5.164]],
  "species": ["Se", "Br", "Br", "Ag", "Al"],
  "fractional_positions": [[0.500, 0.000, 0.000], [0.000, 0.000, 0.500], [0.000, 0.500, 0.000], [0.000, 0.000, 0.000], [0.500, 0.500, 0.500]],
  "sg": "P4/mmm, No. 123",
  "e_form_raw_ev_per_atom": 0.20
}

{
  "formula": "AlAg3C",
  "functional": "meta-GGA SCAN",
  "state": "PBEsol geometry",
  "cell": [[-2.163, -2.437, 2.789], [3.652, -0.867, 2.075], [-0.616, 3.421, 2.512]],
  "species": ["C", "Al", "Ag", "Ag", "Ag"],
  "fractional_positions": [[0.000, 0.000, 0.000], [0.500, 0.500, 0.500], [0.000, 0.500, 0.000], [0.000, 0.000, 0.500], [0.500, 0.000, 0.000]],
  "e_above_lowest_polymorph_mev_per_atom": 0,
  "sg": "Pm-3m, No. 221",
  "ef_ev_per_fu": 4.19
}

{
  "formula": "AlAg3C",
  "functional": "meta-GGA SCAN",
  "state": "PBEsol geometry",
  "cell": [[-3.791, 2.747, -0.421], [-2.529, -3.705, -1.405], [-1.153, -0.907, 4.466]],
  "species": ["C", "Al", "Ag", "Ag", "Ag"],
  "fractional_positions": [[0.500, 0.500, 0.500], [0.000, 0.000, 0.000], [0.000, 0.500, 0.000], [0.000, 0.000, 0.500], [0.500, 0.000, 0.000]],
  "e_above_lowest_polymorph_mev_per_atom": 1001,
  "sg": "Pm-3m, No. 221",
  "ef_ev_per_fu": 9.20
}